The following is a PBE calculation of a geometry-optimized Dy2PPt3 structure, from the Alexandria database.

abc: 7.5050 8.5832 14.8992
angles: 90.00 90.00 90.00
Last column: nearest neighbours and their distance in Å.
Space group Fmmm (No. 69)
One atom of each set of equivalent atoms:
Dy1 0.2379 0.0000 0.0000 x8  10 Pt 3.11-3.19, 2 P 3.15
Dy2 0.2500 0.2500 0.2500 x8  8 Pt 3.05-3.06, 4 P 3.12
P1 0.0000 0.0000 0.3347 x8  3 Pt 2.33-2.34
Pt1 0.0000 0.0000 0.1773 x8  1 P 2.34
Pt2 0.0000 0.2356 0.4118 x16  1 P 2.33

Properties
volume = 959.8 Å³/cell
polymorph energy (0 for the lowest one) = 0.000 eV/atom
DOS at the Fermi energy = 17.4 states/eV per cell
E_form = -1.19 eV/atom